Record 1
DFT (GGA-PBE) results for a relaxed structure of Dy2ErSnN4.

Structure (extended XYZ):
```
8
Lattice="5.974 0.000 0.000 0.000 3.458 0.000 -2.012 0.000 5.646" Properties=species:S:1:pos:R:3 pbc="T T T"
Dy 0.000 0.000 0.000
Dy -1.006 1.729 2.823
Er 1.981 0.000 2.823
Sn 2.987 1.729 0.000
N -0.027 0.000 4.196
N 0.966 1.729 1.446
N 2.995 1.729 4.200
N 3.989 0.000 1.451
```

Results
- Space group: P2/m (10)
- Crystal system: monoclinic
- Calculated total energy: -59.84 eV/cell
- Formation energy (no corrections): -1.096 eV/atom

Record 2
DFT (GGA-PBE) results for a relaxed structure of DyEr2TaN4.

Structure (extended XYZ):
```
8
Lattice="5.777 0.000 0.000 0.000 3.327 0.000 -1.896 0.000 5.469" Properties=species:S:1:pos:R:3 pbc="T T T"
Dy 0.000 0.000 0.000
Er 1.940 0.000 2.735
Er 2.888 1.663 0.000
Ta -0.948 1.663 2.735
N -0.044 0.000 3.990
N 0.873 1.663 1.456
N 3.007 1.663 4.013
N 3.924 0.000 1.479
```

Results
- Space group: P2/m (10)
- Crystal system: monoclinic
- Calculated total energy: -71.50 eV/cell
- Formation energy (no corrections): -1.577 eV/atom

Record 3
DFT (GGA-PBE) results for a relaxed structure of DyErTaN3.

Structure (extended XYZ):
```
12
Lattice="7.097 0.000 0.000 0.000 3.377 0.000 -0.080 0.000 7.926" Properties=species:S:1:pos:R:3 pbc="T T T"
Dy 1.014 0.844 1.228
Dy 6.004 2.533 6.698
Er 2.719 2.533 6.725
Er 4.298 0.844 1.201
Ta 0.870 0.844 4.589
Ta 6.147 2.533 3.337
N 0.842 0.844 6.644
N 1.253 2.533 3.554
N 2.683 2.533 0.975
N 4.335 0.844 6.951
N 5.764 0.844 4.372
N 6.175 2.533 1.282
```

Results
- Space group: P2_1/m (11)
- Crystal system: monoclinic
- Calculated total energy: -105.83 eV/cell
- Formation energy (no corrections): -1.153 eV/atom

Record 4
DFT (GGA-PBE) results for a relaxed structure of Dy2ErTaN4.

Structure (extended XYZ):
```
8
Lattice="5.793 0.000 0.000 0.000 3.334 0.000 -1.899 0.000 5.488" Properties=species:S:1:pos:R:3 pbc="T T T"
Dy 0.000 0.000 0.000
Dy 2.897 1.667 0.000
Er -0.949 1.667 2.744
Ta 1.947 0.000 2.744
N 0.132 0.000 4.019
N 1.051 1.667 1.500
N 2.843 1.667 3.988
N 3.762 0.000 1.469
```

Results
- Space group: P2/m (10)
- Crystal system: monoclinic
- Calculated total energy: -71.48 eV/cell
- Formation energy (no corrections): -1.570 eV/atom